Below is an optimized crystal structure of Y2Ho2In3, with properties calculated at the GGA-PBE level.

Cell lengths 3.480, 31.993, 3.503 Å; angles 90.00, 90.00, 90.00 degrees
Space group Cmmm (No. 65)
Unique sites:
Y (0.000, 0.068, 0.000)
Ho (0.000, 0.201, 0.000)
In (0.000, 0.364, 0.500)
In (0.000, 0.500, 0.500)

N(E_F)   6.6 states/eV/f.u.
Theoretical density   7.3 Mg/m³
Total magnetic moment   0.0330 μB per atom
Final energy   -65.42 eV per cell



Below is an optimized crystal structure of Y5HoIn3, with properties calculated at the GGA-PBE level.

Cell lengths 9.3552, 9.3552, 6.7426 Å; angles 90.00, 90.00, 120.00 degrees
Space group P6_3/mcm (No. 193)
Unique sites:
Y (0.0000, 0.3312, 0.2500)
Y (0.3333, 0.6667, 0.0000)
Ho (0.0000, 0.0000, 0.0000)
In (0.0000, 0.3350, 0.7500)

N(E_F)   10.5 states/eV/f.u.
Theoretical density   6.2 Mg/m³
Total magnetic moment   0.0571 μB per atom
Final energy   -97.17 eV per cell



Below is an optimized crystal structure of YHo6In6, with properties calculated at the GGA-PBE level.

Cell lengths 6.2450, 6.2450, 10.6915 Å; angles 90.00, 90.00, 120.00 degrees
Space group P6/mmm (No. 191)
Unique sites:
Y (0.0000, 0.0000, 0.0000)
Ho (0.0000, 0.0000, 0.3390)
Ho (0.3333, 0.6667, 0.0000)
Ho (0.3333, 0.6667, 0.5000)
In (0.0000, 0.5000, 0.2458)

N(E_F)   15.0 states/eV/f.u.
Theoretical density   8.1 Mg/m³
Total magnetic moment   0.0013 μB per atom
Final energy   -54.40 eV per cell



Below is an optimized crystal structure of Y2Ho3In2, with properties calculated at the GGA-PBE level.

Cell lengths 5.3727, 5.3727, 23.9760 Å; angles 90.00, 90.00, 120.00 degrees
Space group R-3m (No. 166, hexagonal axes)
Unique sites:
Y (0.0000, 0.0000, 0.0762)
Ho (0.0000, 0.0000, 0.3467)
Ho (0.0000, 0.0000, 0.5000)
In (0.0000, 0.0000, 0.2166)

N(E_F)   5.4 states/eV/f.u.
Theoretical density   7.5 Mg/m³
Total magnetic moment   0.0000 μB per atom
Final energy   -102.45 eV per cell
Excess energy over the best structure of this formula in the dataset   0.000 eV per atom